{
  "formula": "Nd8Tl2Ir3",
  "functional": "PBE",
  "state": "optimized geometry",
  "polymorph_energy_ev_per_atom": 0.000,
  "formation_enthalpy_0k_ev_per_atom": -0.3827,
  "magmom_total_mub_per_fu": 0.00,
  "dos_at_fermi_per_ev_atom": 0.96,
  "cell": [[-3.879, -3.131, 0.950], [-0.214, -2.722, -9.846], [5.011, -4.264, 6.365]],
  "species": ["Ir", "Nd", "Tl", "Nd", "Nd", "Nd", "Nd", "Nd", "Tl", "Nd", "Nd", "Ir", "Ir"],
  "frac_coords": [[0.500, 0.000, 0.000], [0.000, 0.610, 0.221], [0.500, 0.742, 0.485], [0.000, 0.887, 0.775], [0.000, 0.113, 0.225], [0.500, 0.644, 0.777], [0.500, 0.356, 0.223], [0.500, 0.131, 0.775], [0.500, 0.258, 0.515], [0.000, 0.390, 0.779], [0.500, 0.869, 0.225], [0.000, 0.256, 0.000], [0.000, 0.744, 0.000]]
}


{
  "formula": "NdTlIr4",
  "functional": "PBE",
  "state": "optimized geometry",
  "formation_enthalpy_0k_ev_per_atom": -0.1884,
  "magmom_total_mub_per_fu": 0.00,
  "dos_at_fermi_per_ev_atom": 1.61,
  "cell": [[-3.411, -2.673, -3.216], [-0.921, -5.255, 0.816], [-4.777, -1.639, 1.901]],
  "species": ["Ir", "Ir", "Tl", "Nd", "Ir", "Ir"],
  "frac_coords": [[0.625, 0.124, 0.625], [0.625, 0.625, 0.124], [0.000, 0.000, 0.000], [0.250, 0.250, 0.250], [0.124, 0.625, 0.625], [0.625, 0.625, 0.625]]
}


{
  "formula": "Nd3TlIr",
  "functional": "PBE",
  "state": "optimized geometry",
  "polymorph_energy_ev_per_atom": 0.027,
  "formation_enthalpy_0k_ev_per_atom": -0.4557,
  "magmom_total_mub_per_fu": 0.00,
  "dos_at_fermi_per_ev_atom": 0.97,
  "cell": [[-0.442, 2.338, 3.353], [-5.487, 1.901, -4.566], [-6.276, -7.516, 4.413]],
  "species": ["Tl", "Nd", "Nd", "Nd", "Nd", "Ir", "Nd", "Ir", "Nd", "Tl"],
  "frac_coords": [[0.755, 0.507, 0.250], [0.865, 0.731, 0.952], [0.135, 0.269, 0.048], [0.135, 0.269, 0.452], [0.865, 0.731, 0.548], [0.500, 0.000, 0.000], [0.438, 0.874, 0.250], [0.500, 0.000, 0.500], [0.562, 0.126, 0.750], [0.245, 0.493, 0.750]]
}


{
  "formula": "Nd6Tl2Ir",
  "functional": "PBE",
  "state": "optimized geometry",
  "polymorph_energy_ev_per_atom": 0.084,
  "formation_enthalpy_0k_ev_per_atom": -0.2902,
  "magmom_total_mub_per_fu": 0.00,
  "dos_at_fermi_per_ev_atom": 1.11,
  "cell": [[-5.461, -4.402, -2.267], [-1.973, -1.226, 7.134], [-6.393, 8.679, -0.277]],
  "species": ["Tl", "Tl", "Ir", "Nd", "Ir", "Nd", "Nd", "Nd", "Nd", "Tl", "Nd", "Nd", "Nd", "Nd", "Nd", "Nd", "Tl", "Nd"],
  "frac_coords": [[0.972, 0.429, 0.755], [0.528, 0.929, 0.745], [0.000, 0.000, 0.500], [0.695, 0.188, 0.960], [0.500, 0.500, 0.000], [0.406, 0.505, 0.747], [0.094, 0.005, 0.753], [0.312, 0.802, 0.459], [0.188, 0.302, 0.041], [0.028, 0.571, 0.245], [0.812, 0.698, 0.959], [0.688, 0.198, 0.541], [0.195, 0.312, 0.460], [0.594, 0.495, 0.253], [0.305, 0.812, 0.040], [0.805, 0.688, 0.540], [0.472, 0.071, 0.255], [0.906, 0.995, 0.247]]
}


{
  "formula": "Nd2TlIr2",
  "functional": "PBE",
  "state": "optimized geometry",
  "formation_enthalpy_0k_ev_per_atom": -0.5216,
  "magmom_total_mub_per_fu": 0.00,
  "dos_at_fermi_per_ev_atom": 0.75,
  "cell": [[4.177, 0.004, 1.777], [1.503, 5.055, 2.251], [0.031, 0.333, 5.725]],
  "species": ["Nd", "Ir", "Nd", "Tl", "Ir"],
  "frac_coords": [[0.292, 0.208, 0.708], [0.000, 0.209, 0.291], [0.708, 0.792, 0.292], [0.500, 0.500, 0.000], [0.000, 0.791, 0.709]]
}


{
  "formula": "Nd8TlIr2",
  "functional": "PBE",
  "state": "optimized geometry",
  "formation_enthalpy_0k_ev_per_atom": -0.3070,
  "magmom_total_mub_per_fu": 0.00,
  "dos_at_fermi_per_ev_atom": 1.27,
  "cell": [[-1.763, -4.952, 2.140], [6.287, -2.930, -4.406], [2.185, 3.504, 7.104]],
  "species": ["Tl", "Nd", "Nd", "Ir", "Nd", "Nd", "Nd", "Nd", "Nd", "Ir", "Nd"],
  "frac_coords": [[0.500, 0.000, 0.000], [0.500, 0.751, 0.249], [0.302, 0.607, 0.607], [0.000, 0.302, 0.698], [0.935, 0.671, 0.925], [0.500, 0.249, 0.751], [0.065, 0.329, 0.075], [0.065, 0.075, 0.329], [0.935, 0.925, 0.671], [0.000, 0.698, 0.302], [0.698, 0.393, 0.393]]
}


{
  "formula": "Nd6Tl2Ir",
  "functional": "PBE",
  "state": "optimized geometry",
  "polymorph_energy_ev_per_atom": 0.000,
  "formation_enthalpy_0k_ev_per_atom": -0.3741,
  "magmom_total_mub_per_fu": 0.00,
  "dos_at_fermi_per_ev_atom": 1.30,
  "cell": [[3.955, 0.000, 0.000], [0.000, 8.112, -3.735], [0.000, -0.823, 8.890]],
  "species": ["Nd", "Nd", "Ir", "Tl", "Tl", "Nd", "Nd", "Nd", "Nd"],
  "frac_coords": [[0.000, 0.241, 0.000], [0.500, 0.396, 0.396], [0.500, 0.001, 0.000], [0.000, 0.333, 0.666], [0.000, 0.667, 0.334], [0.500, 0.000, 0.604], [0.000, 0.000, 0.241], [0.000, 0.759, 0.759], [0.500, 0.604, 0.000]]
}


{
  "formula": "Nd5Tl5Ir",
  "functional": "PBE",
  "state": "optimized geometry",
  "formation_enthalpy_0k_ev_per_atom": -0.3242,
  "magmom_total_mub_per_fu": 0.00,
  "dos_at_fermi_per_ev_atom": 0.49,
  "cell": [[5.433, 0.000, 0.000], [-2.717, 9.045, 0.320], [0.000, -3.601, 6.909]],
  "species": ["Tl", "Ir", "Nd", "Tl", "Nd", "Tl", "Nd", "Nd", "Tl", "Tl", "Nd"],
  "frac_coords": [[0.300, 0.601, 0.801], [0.000, 0.000, 0.000], [0.145, 0.291, 0.918], [0.346, 0.691, 0.346], [0.855, 0.709, 0.082], [0.000, 0.000, 0.500], [0.145, 0.291, 0.373], [0.500, 0.000, 0.000], [0.700, 0.399, 0.199], [0.654, 0.309, 0.654], [0.855, 0.709, 0.627]]
}